[1]
Nd8Co3HCl4: relaxed, PBE.

a = 7.8700 Å, b = 7.8700 Å, c = 22.4659 Å
α = 90.00°, β = 90.00°, γ = 120.00°
Space group R-3m (No. 166, hexagonal axes)
Symmetry-distinct sites (fractional):
Nd 0.0000 0.0000 0.2334 x6
Nd 0.0018 0.5009 0.7664 x18
Co 0.0000 0.5000 0.5000 x9
H 0.0000 0.0000 0.5000 x3
Cl 0.0000 0.0000 0.0000 x3
Cl 0.0000 0.5000 0.0000 x9

Calculated total energy = -250.88 eV/cell


[2]
Nd6Co2HCl3: relaxed, PBE.

a = 6.8361 Å, b = 11.7884 Å, c = 7.8079 Å
α = 90.00°, β = 107.12°, γ = 90.00°
Space group C2/m (No. 12)
Symmetry-distinct sites (fractional):
Nd 0.2270 0.0000 0.2004 x4
Nd 0.2357 0.3303 0.1998 x8
Co 0.0000 0.1661 0.0000 x4
H 0.0000 0.5000 0.0000 x2
Cl 0.0000 0.0000 0.5000 x2
Cl 0.0000 0.3295 0.5000 x4

Calculated total energy = -123.78 eV/cell


Which of these has the lowest calculated total energy?
Nd8Co3HCl4